The following is a PBE with a Hubbard U calculation of crystalline Rb2BaCoF6 at its relaxed geometry, from the Alexandria database.

Geometry as extended XYZ:
```
10
Lattice="-3.240 3.240 4.671 3.240 -3.240 4.671 3.240 3.240 -4.671" Properties=species:S:1:pos:R:3 pbc="T T T"
Rb 3.240 0.000 2.336
Rb 0.000 3.240 2.336
Ba 0.000 0.000 0.000
Co 0.000 0.000 4.671
F 0.000 0.000 2.538
F 1.799 1.799 0.000
F 1.440 -1.440 4.671
F -1.440 1.440 4.671
F 1.440 1.440 4.671
F 0.000 0.000 6.805
```

## Properties
* total energy: -48.60 eV/cell
* distance to the lowest polymorph of the same formula: 7 meV per atom